Density functional theory data (PBE-GGA) for crystalline Ho2MgZn12Ni3 at its relaxed geometry.

Summary:
energy of formation from the pure elements: 19.1 kJ/mol of atoms
magnetic moment: 0.00 μB per cell
SG: No. 166
calculated total energy: -2.212 eV per atom
crystal system: trigonal

Cell lengths 7.5524, 7.5524, 7.5524 Å; angles 68.99, 68.99, 68.99 degrees
Sites, in units of the cell vectors:
Ho (0.5932, 0.5932, 0.5932)
Ho (0.4068, 0.4068, 0.4068)
Mg (0.0000, 0.0000, 0.0000)
Zn (0.2922, 0.2922, 0.8431)
Zn (0.8501, 0.8501, 0.3931)
Zn (0.3931, 0.8501, 0.8501)
Zn (0.8431, 0.2922, 0.2922)
Zn (0.8501, 0.3931, 0.8501)
Zn (0.2922, 0.8431, 0.2922)
Zn (0.7078, 0.7078, 0.1569)
Zn (0.1499, 0.1499, 0.6069)
Zn (0.6069, 0.1499, 0.1499)
Zn (0.1569, 0.7078, 0.7078)
Zn (0.1499, 0.6069, 0.1499)
Zn (0.7078, 0.1569, 0.7078)
Ni (0.5000, 0.0000, 0.0000)
Ni (0.0000, 0.5000, 0.0000)
Ni (0.0000, 0.0000, 0.5000)